Entry 1:
Compound: Be2AlAu4
Source: Alexandria
Functional: GGA-PBE
Structure: relaxed

magnetic moment	0.000	μB per formula unit
Fermi-level density of states	2.76	states/eV/f.u.
DFT formation energy	-0.148	eV per atom

a b c (Å): 6.1341 6.1341 5.8225
angles (deg): 90.00 90.00 90.00
Space group I4/mmm (No. 139)
Unique sites:
1 Be 0.0000 0.5000 0.0000 x4
2 Al 0.0000 0.0000 0.0000 x2
3 Au 0.2500 0.2500 0.2500 x8

---

Entry 2:
Compound: Be2AlAu
Source: Alexandria
Functional: GGA-PBE
Structure: relaxed

magnetic moment	0.000	μB per formula unit
Fermi-level density of states	1.55	states/eV/f.u.
DFT formation energy	0.136	eV per atom

a b c (Å): 5.8838 5.8838 5.8838
angles (deg): 90.00 90.00 90.00
Space group F-43m (No. 216)
Unique sites:
1 Be 0.0000 0.0000 0.0000 x4
2 Be 0.2500 0.2500 0.2500 x4
3 Al 0.0000 0.0000 0.5000 x4
4 Au 0.2500 0.2500 0.7500 x4

---

Entry 3:
Compound: Be2AlAu3
Source: Alexandria
Functional: GGA-PBE
Structure: relaxed

magnetic moment	0.000	μB per formula unit
Fermi-level density of states	0.77	states/eV/f.u.
DFT formation energy	-0.172	eV per atom

a b c (Å): 3.0111 3.0111 9.4190
angles (deg): 90.00 90.00 90.00
Space group P4/mmm (No. 123)
Unique sites:
1 Be 0.0000 0.0000 0.1503 x2
2 Al 0.0000 0.0000 0.5000 x1
3 Au 0.5000 0.5000 0.0000 x1
4 Au 0.5000 0.5000 0.3110 x2

---

Entry 4:
Compound: Be2AlAu
Source: Alexandria
Functional: GGA-PBE
Structure: relaxed

magnetic moment	0.000	μB per formula unit
Fermi-level density of states	0.70	states/eV/f.u.
DFT formation energy	0.154	eV per atom

a b c (Å): 2.8393 2.8393 23.2451
angles (deg): 90.00 90.00 120.00
Space group R-3m (No. 166, hexagonal axes)
Unique sites:
1 Be 0.0000 0.0000 0.2483 x6
2 Al 0.0000 0.0000 0.0000 x3
3 Au 0.0000 0.0000 0.5000 x3

---

Entry 5:
Compound: Be2AlAu
Source: Alexandria
Functional: GGA-PBE
Structure: relaxed

magnetic moment	0.000	μB per formula unit
Fermi-level density of states	0.48	states/eV/f.u.
DFT formation energy	0.012	eV per atom

a b c (Å): 3.0573 3.0573 5.4240
angles (deg): 90.00 90.00 90.00
Space group P4mm (No. 99)
Unique sites:
1 Be 0.0000 0.0000 0.0000 x1
2 Be 0.5000 0.5000 0.1963 x1
3 Al 0.0000 0.0000 0.4439 x1
4 Au 0.5000 0.5000 0.7514 x1

---

Entry 6:
Compound: BeAl3Au
Source: Alexandria
Functional: GGA-PBE
Structure: relaxed

polymorph energy (0 for the lowest one)	0	meV per atom
magnetic moment	0.000	μB per formula unit
Fermi-level density of states	2.36	states/eV/f.u.
DFT formation energy	0.276	eV per atom

a b c (Å): 4.3767 4.3767 4.3767
angles (deg): 90.00 90.00 90.00
Space group Pm-3m (No. 221)
Unique sites:
1 Be 0.0000 0.0000 0.0000 x1
2 Al 0.0000 0.0000 0.5000 x3
3 Au 0.5000 0.5000 0.5000 x1

---

Entry 7:
Compound: Be2AlAu
Source: Alexandria
Functional: GGA-PBE
Structure: relaxed

magnetic moment	0.000	μB per formula unit
Fermi-level density of states	0.91	states/eV/f.u.
DFT formation energy	0.014	eV per atom

a b c (Å): 3.7554 3.7554 7.1170
angles (deg): 90.00 90.00 90.00
Space group I4/mmm (No. 139)
Unique sites:
1 Be 0.0000 0.5000 0.2500 x4
2 Al 0.0000 0.0000 0.0000 x2
3 Au 0.0000 0.0000 0.5000 x2

---

Entry 8:
Compound: BeAlAu2
Source: Alexandria
Functional: GGA-PBE
Structure: relaxed

magnetic moment	0.000	μB per formula unit
Fermi-level density of states	0.76	states/eV/f.u.
DFT formation energy	-0.196	eV per atom

a b c (Å): 3.0491 3.0015 6.4670
angles (deg): 90.00 90.64 90.00
Space group P2/m (No. 10)
Unique sites:
1 Be 0.0000 0.0000 0.0000 x1
2 Al 0.0000 0.0000 0.5000 x1
3 Au 0.4914 0.5000 0.7756 x2

---

Entry 9:
Compound: BeAlAu
Source: Alexandria
Functional: GGA-PBE
Structure: relaxed

polymorph energy (0 for the lowest one)	160	meV per atom
magnetic moment	0.000	μB per formula unit
Fermi-level density of states	1.38	states/eV/f.u.
DFT formation energy	-0.033	eV per atom

a b c (Å): 4.0640 4.0640 3.0849
angles (deg): 90.00 90.00 120.00
Space group P-6m2 (No. 187)
Unique sites:
1 Be 0.0000 0.0000 0.0000 x1
2 Al 0.6667 0.3333 0.5000 x1
3 Au 0.3333 0.6667 0.0000 x1

---

Entry 10:
Compound: BeAl2Au
Source: Alexandria
Functional: GGA-PBE
Structure: relaxed

magnetic moment	0.000	μB per formula unit
Fermi-level density of states	0.38	states/eV/f.u.
DFT formation energy	-0.019	eV per atom

a b c (Å): 3.2255 3.6144 5.1476
angles (deg): 90.00 90.00 90.00
Space group Pmmm (No. 47)
Unique sites:
1 Be 0.0000 0.0000 0.0000 x1
2 Al 0.5000 0.5000 0.2418 x2
3 Au 0.0000 0.0000 0.5000 x1

---

Entry 11:
Compound: BeAlAu3
Source: Alexandria
Functional: GGA-PBE
Structure: relaxed

polymorph energy (0 for the lowest one)	15	meV per atom
magnetic moment	0.000	μB per formula unit
Fermi-level density of states	0.89	states/eV/f.u.
DFT formation energy	-0.177	eV per atom

a b c (Å): 11.1349 11.5107 5.0375
angles (deg): 90.00 90.51 90.00
Space group C2/c (No. 15)
Unique sites:
1 Be 0.0000 0.0417 0.2500 x4
2 Be 0.0000 0.1675 0.7500 x4
3 Al 0.1397 0.4240 0.0495 x8
4 Au 0.0895 0.3520 0.5454 x8
5 Au 0.1428 0.1949 0.0930 x8
6 Au 0.1691 0.0717 0.5807 x8

---

Entry 12:
Compound: BeAl2Au2
Source: Alexandria
Functional: GGA-PBE
Structure: relaxed

polymorph energy (0 for the lowest one)	0	meV per atom
magnetic moment	0.000	μB per formula unit
Fermi-level density of states	1.84	states/eV/f.u.
DFT formation energy	-0.090	eV per atom

a b c (Å): 6.5531 6.5531 3.8250
angles (deg): 90.00 90.00 90.00
Space group P4/mbm (No. 127)
Unique sites:
1 Be 0.0000 0.0000 0.0000 x2
2 Al 0.1507 0.3493 0.5000 x4
3 Au 0.1626 0.6626 0.0000 x4

---

Entry 13:
Compound: BeAl2Au
Source: Alexandria
Functional: GGA-PBE
Structure: relaxed

magnetic moment	0.000	μB per formula unit
Fermi-level density of states	1.66	states/eV/f.u.
DFT formation energy	-0.016	eV per atom

a b c (Å): 3.1338 3.7327 5.1485
angles (deg): 90.00 90.00 90.00
Space group Pmm2 (No. 25)
Unique sites:
1 Be 0.0000 0.0000 0.0000 x1
2 Al 0.0000 0.0000 0.4890 x1
3 Al 0.5000 0.5000 0.2224 x1
4 Au 0.5000 0.5000 0.7366 x1